A plane-wave DFT calculation with PBE-GGA was carried out for an optimized crystal structure of SmErHgPb.

M_tot ... 0.0 μB per formula unit
Crystal system ... cubic
Excess energy over the best structure of this formula in the dataset ... 3 meV per atom
Volume ... 27.4 Å³ per atom
Calculated formation energy ... -0.453 eV/atom
Fermi-level density of states ... 4.900 states/eV/cell

Lattice parameters (Å, degrees): 5.3699 5.3699 5.3699 60.00 60.00 60.00
Last column: nearest neighbours and their distance in Å.
Atoms (fractional coordinates):
Pb (0.2500, 0.2500, 0.2500)  4 Sm 3.29, 4 Er 3.29
Hg (0.7500, 0.7500, 0.7500)  4 Er 3.29, 4 Sm 3.29
Sm (0.0000, 0.0000, 0.0000)  4 Hg 3.29, 4 Pb 3.29
Er (0.5000, 0.5000, 0.5000)  4 Pb 3.29, 4 Hg 3.29

=====

A plane-wave DFT calculation with PBE-GGA was carried out for an optimized crystal structure of SrErHgPb.

M_tot ... 0.0 μB per formula unit
Crystal system ... cubic
Volume ... 29.8 Å³ per atom
Calculated formation energy ... -0.433 eV/atom
Fermi-level density of states ... 3.383 states/eV/cell

Lattice parameters (Å, degrees): 5.5214 5.5214 5.5214 60.00 60.00 60.00
Last column: nearest neighbours and their distance in Å.
Atoms (fractional coordinates):
Pb (0.7500, 0.7500, 0.7500)  4 Sr 3.38, 4 Er 3.38
Sr (0.5000, 0.5000, 0.5000)  4 Pb 3.38, 4 Hg 3.38
Hg (0.2500, 0.2500, 0.2500)  4 Er 3.38, 4 Sr 3.38
Er (0.0000, 0.0000, 0.0000)  4 Hg 3.38, 4 Pb 3.38

=====

A plane-wave DFT calculation with PBE-GGA was carried out for an optimized crystal structure of TbErHgPb.

M_tot ... 0.0 μB per formula unit
Crystal system ... cubic
Excess energy over the best structure of this formula in the dataset ... 8 meV per atom
Volume ... 26.8 Å³ per atom
Calculated formation energy ... -0.442 eV/atom
Fermi-level density of states ... 4.847 states/eV/cell

Lattice parameters (Å, degrees): 5.3317 5.3317 5.3317 60.00 60.00 60.00
Last column: nearest neighbours and their distance in Å.
Atoms (fractional coordinates):
Pb (0.2500, 0.2500, 0.2500)  4 Tb 3.26, 4 Er 3.26
Tb (0.0000, 0.0000, 0.0000)  4 Hg 3.26, 4 Pb 3.26
Hg (0.7500, 0.7500, 0.7500)  4 Tb 3.26, 4 Er 3.26
Er (0.5000, 0.5000, 0.5000)  4 Hg 3.26, 4 Pb 3.26

=====

A plane-wave DFT calculation with PBE-GGA was carried out for an optimized crystal structure of TbErHgPb.

M_tot ... 0.0 μB per formula unit
Crystal system ... orthorhombic
Excess energy over the best structure of this formula in the dataset ... 0 meV per atom
Volume ... 26.9 Å³ per atom
Calculated formation energy ... -0.450 eV/atom
Fermi-level density of states ... 3.702 states/eV/cell

Lattice parameters (Å, degrees): 3.9537 5.2158 5.2106 90.00 90.00 90.00
Last column: nearest neighbours and their distance in Å.
Atoms (fractional coordinates):
Tb (0.0000, 0.5000, 0.5000)  4 Pb 3.27, 4 Hg 3.27
Er (0.0000, 0.0000, 0.0000)  4 Hg 3.27, 4 Pb 3.27
Hg (0.5000, 0.0000, 0.5000)  4 Er 3.27, 4 Tb 3.27
Pb (0.5000, 0.5000, 0.0000)  4 Tb 3.27, 4 Er 3.27

=====

A plane-wave DFT calculation with PBE-GGA was carried out for an optimized crystal structure of Er6Hg2Te3Pb.

M_tot ... 0.0 μB per formula unit
Crystal system ... monoclinic
Volume ... 28.6 Å³ per atom
E_form (uncorrected) ... -0.85 eV per atom
Fermi-level density of states ... 5.502 states/eV/cell

Lattice parameters (Å, degrees): 4.2359 8.8686 9.9862 110.35 102.24 90.00
Last column: nearest neighbours and their distance in Å.
Atoms (fractional coordinates):
Er (0.3291, 0.8700, 0.6583)  2 Hg 3.08, 3 Te 3.11-3.27, 1 Pb 3.12
Er (0.6631, 0.6169, 0.3262)  3 Te 2.98-3.07, 3 Hg 2.99-3.05
Er (0.6709, 0.1300, 0.3417)  2 Hg 3.08, 3 Te 3.11-3.27, 1 Pb 3.12
Er (0.0118, 0.2553, 0.0236)  2 Pb 3.05, 3 Te 3.10-3.16, 1 Hg 3.16
Er (0.9882, 0.7447, 0.9764)  2 Pb 3.05, 3 Te 3.10-3.16, 1 Hg 3.16
Er (0.3369, 0.3831, 0.6738)  3 Te 2.98-3.07, 3 Hg 2.99-3.05
Hg (0.8151, 0.6088, 0.6303)  6 Er 2.99-3.16, 2 Hg 3.34
Hg (0.1849, 0.3912, 0.3697)  6 Er 2.99-3.16, 2 Hg 3.34
Te (0.5000, 0.5000, 0.0000)  6 Er 2.98-3.10
Te (0.8389, 0.1343, 0.6777)  6 Er 3.07-3.27
Te (0.1611, 0.8657, 0.3223)  6 Er 3.07-3.27
Pb (0.5000, 0.0000, 0.0000)  6 Er 3.05-3.12

=====

A plane-wave DFT calculation with PBE-GGA was carried out for an optimized crystal structure of Er5Hg2Pd.

M_tot ... 0.0 μB per formula unit
Crystal system ... orthorhombic
Volume ... 25.8 Å³ per atom
Calculated formation energy ... -0.471 eV/atom
Fermi-level density of states ... 11.116 states/eV/cell

Lattice parameters (Å, degrees): 4.9217 6.8659 12.2185 90.00 90.00 90.00
Last column: nearest neighbours and their distance in Å.
Atoms (fractional coordinates):
Er (0.0000, 0.0000, 0.5000)  4 Hg 3.19, 2 Pd 3.43, 4 Er 3.52
Er (0.0000, 0.5000, 0.0000)  4 Hg 3.19, 2 Pd 3.43, 4 Er 3.52
Er (0.0000, 0.8612, 0.2139)  1 Pd 2.78
Er (0.0000, 0.1388, 0.7861)  1 Pd 2.78
Er (0.0000, 0.6388, 0.7139)  1 Pd 2.78
Er (0.0000, 0.3612, 0.2861)  1 Pd 2.78
Er (0.5000, 0.6735, 0.4075)  2 Pd 2.96, 2 Hg 3.01-3.10, 1 Er 3.28
Er (0.5000, 0.3265, 0.5925)  2 Pd 2.96, 2 Hg 3.01-3.10, 1 Er 3.28
Er (0.5000, 0.8265, 0.9075)  2 Pd 2.96, 2 Hg 3.01-3.10, 1 Er 3.28
Er (0.5000, 0.1735, 0.0925)  2 Pd 2.96, 2 Hg 3.01-3.10, 1 Er 3.28
Hg (0.5000, 0.5968, 0.1575)  8 Er 3.01-3.34
Hg (0.5000, 0.4032, 0.8425)  8 Er 3.01-3.34
Hg (0.5000, 0.9032, 0.6575)  8 Er 3.01-3.34
Hg (0.5000, 0.0968, 0.3425)  8 Er 3.01-3.34
Pd (0.0000, 0.5000, 0.5000)  6 Er 2.78-2.96
Pd (0.0000, 0.0000, 0.0000)  6 Er 2.78-2.96

=====

A plane-wave DFT calculation with PBE-GGA was carried out for an optimized crystal structure of Er2Hg2Pd.

M_tot ... 0.0 μB per formula unit
Crystal system ... orthorhombic
Excess energy over the best structure of this formula in the dataset ... 0 meV per atom
Volume ... 24.0 Å³ per atom
Calculated formation energy ... -0.528 eV/atom
Fermi-level density of states ... 2.897 states/eV/cell

Lattice parameters (Å, degrees): 3.4640 3.5571 9.8948 79.65 90.00 90.00
Last column: nearest neighbours and their distance in Å.
Atoms (fractional coordinates):
Er (0.5000, 0.4131, 0.1738)  4 Pd 3.00, 4 Hg 3.19
Er (0.5000, 0.5869, 0.8262)  4 Pd 3.00, 4 Hg 3.19
Hg (0.0000, 0.1894, 0.6212)  2 Hg 2.95, 4 Er 3.19
Hg (0.0000, 0.8106, 0.3788)  2 Hg 2.95, 4 Er 3.19
Pd (0.0000, 0.0000, 0.0000)  8 Er 3.00

=====

A plane-wave DFT calculation with PBE-GGA was carried out for an optimized crystal structure of ErHg2Pd2.

M_tot ... 0.0 μB per formula unit
Crystal system ... orthorhombic
Volume ... 20.0 Å³ per atom
Calculated formation energy ... -0.481 eV/atom
Fermi-level density of states ... 3.674 states/eV/cell

Lattice parameters (Å, degrees): 4.9649 5.1069 8.2653 90.00 107.48 90.00
Last column: nearest neighbours and their distance in Å.
Atoms (fractional coordinates):
Er (0.3509, 0.9515, 0.7018)  7 Pd 2.93-3.18, 3 Hg 3.02-3.08
Er (0.6491, 0.4515, 0.2982)  7 Pd 2.93-3.18, 3 Hg 3.02-3.08
Hg (0.9573, 0.8703, 0.9147)  4 Hg 2.89-3.14, 2 Pd 2.94, 2 Er 3.02
Hg (0.8442, 0.4130, 0.6883)  6 Pd 2.85-3.08, 2 Hg 2.94-3.14, 1 Er 3.08
Hg (0.1558, 0.9130, 0.3117)  6 Pd 2.85-3.08, 2 Hg 2.94-3.14, 1 Er 3.08
Hg (0.0427, 0.3703, 0.0853)  4 Hg 2.89-3.14, 2 Pd 2.94, 2 Er 3.02
Pd (0.4472, 0.4603, 0.8945)  3 Er 2.93-3.18, 6 Hg 2.94-3.25, 3 Pd 3.05-3.08
Pd (0.7482, 0.9392, 0.4963)  4 Hg 2.85-3.08, 4 Er 2.94-3.05, 1 Pd 3.08
Pd (0.2518, 0.4392, 0.5037)  4 Hg 2.85-3.08, 4 Er 2.94-3.05, 1 Pd 3.08
Pd (0.5528, 0.9603, 0.1055)  3 Er 2.93-3.18, 6 Hg 2.94-3.25, 3 Pd 3.05-3.08

=====

The calculation returns the following raw total energy values, one per record and in order: -0.27755, -0.22025, -0.27506, -0.27568, -0.31410, -0.29750, -0.25815, -0.26395 Ry/atom.